No. 1
SrCr2Si: optimized geometry, GGA-PBE.

## Properties
Formation energy without anion corrections = 0.6910 eV per atom
Symmetry = P4/mmm (123)

a = 4.412 Å, b = 4.412 Å, c = 4.264 Å
α = 90.00°, β = 90.00°, γ = 90.00°
Fractional coordinates of all 4 atoms:
Sr (0.000, 0.000, 0.000)
Cr (0.000, 0.500, 0.500)
Cr (0.500, 0.000, 0.500)
Si (0.500, 0.500, 0.000)



No. 2
SrCd: optimized geometry, GGA-PBE.

## Properties
Symmetry = I-43m (217)
E_form = 0.209 eV/atom

a = 8.548 Å, b = 8.548 Å, c = 8.548 Å
α = 109.47°, β = 109.47°, γ = 109.47°
Fractional coordinates of all 8 atoms:
Sr (0.000, 0.000, 0.593)
Sr (0.000, 0.593, 0.000)
Sr (0.407, 0.407, 0.407)
Sr (0.593, 0.000, 0.000)
Cd (0.000, 0.000, 0.220)
Cd (0.000, 0.220, 0.000)
Cd (0.220, 0.000, 0.000)
Cd (0.780, 0.780, 0.780)



No. 3
CeTiTe3: optimized geometry, GGA-PBE.

## Properties
Formation energy without anion corrections = -1.0342 eV per atom
Energy above the most stable polymorph in this dataset = 0.0 meV/atom
Symmetry = C2/m (12)

a = 8.092 Å, b = 8.092 Å, c = 9.070 Å
α = 90.24°, β = 90.24°, γ = 29.30°
Fractional coordinates of all 10 atoms:
Ce (0.104, 0.104, 0.402)
Ce (0.896, 0.896, 0.598)
Ti (0.297, 0.297, 0.126)
Ti (0.703, 0.703, 0.874)
Te (0.126, 0.126, 0.038)
Te (0.247, 0.247, 0.667)
Te (0.449, 0.449, 0.324)
Te (0.551, 0.551, 0.676)
Te (0.753, 0.753, 0.333)
Te (0.874, 0.874, 0.962)



No. 4
K2CeGaS5: optimized geometry, GGA-PBE.

## Properties
Formation energy without anion corrections = -1.1278 eV per atom
Symmetry = Cmc2_1 (36)

a = 9.757 Å, b = 9.757 Å, c = 13.824 Å
α = 90.00°, β = 90.00°, γ = 156.82°
Fractional coordinates of all 18 atoms:
K (0.119, 0.881, 0.500)
K (0.132, 0.868, 0.141)
K (0.868, 0.132, 0.641)
K (0.881, 0.119, 0.000)
Ce (0.201, 0.799, 0.841)
Ce (0.799, 0.201, 0.341)
Ga (0.439, 0.561, 0.240)
Ga (0.561, 0.439, 0.740)
S (0.049, 0.951, 0.837)
S (0.301, 0.699, 0.472)
S (0.319, 0.681, 0.201)
S (0.338, 0.662, 0.824)
S (0.499, 0.501, 0.102)
S (0.501, 0.499, 0.602)
S (0.662, 0.338, 0.324)
S (0.681, 0.319, 0.701)
S (0.699, 0.301, 0.972)
S (0.951, 0.049, 0.337)



No. 5
Zn2TcNi: optimized geometry, GGA-PBE.

## Properties
Energy above the most stable polymorph in this dataset = 71.2 meV/atom
Symmetry = C2/m (12)
E_form = 0.036 eV/atom

a = 5.009 Å, b = 5.009 Å, c = 2.547 Å
α = 100.70°, β = 100.70°, γ = 116.21°
Fractional coordinates of all 4 atoms:
Zn (0.000, 0.500, 0.000)
Zn (0.500, 0.000, 0.000)
Tc (0.000, 0.000, 0.500)
Ni (0.500, 0.500, 0.500)



No. 6
Ca2LaBi: optimized geometry, GGA-PBE.

## Properties
Symmetry = P4/mmm (123)
E_form = -0.412 eV/atom

a = 5.011 Å, b = 5.011 Å, c = 5.392 Å
α = 90.00°, β = 90.00°, γ = 90.00°
Fractional coordinates of all 4 atoms:
Ca (0.000, 0.500, 0.000)
Ca (0.500, 0.000, 0.000)
La (0.000, 0.000, 0.500)
Bi (0.500, 0.500, 0.500)



No. 7
NdTmPS: optimized geometry, GGA-PBE.

## Properties
Formation energy without anion corrections = -1.7577 eV per atom
Symmetry = R3m (160)

a = 7.285 Å, b = 7.285 Å, c = 7.285 Å
α = 31.36°, β = 31.36°, γ = 31.36°
Fractional coordinates of all 4 atoms:
Nd (0.000, 0.000, 0.000)
Tm (0.822, 0.822, 0.822)
P (0.417, 0.417, 0.417)
S (0.238, 0.238, 0.238)



No. 8
Ni3P2Pb2: optimized geometry, GGA-PBE.

## Properties
Energy above the most stable polymorph in this dataset = 206.1 meV/atom
Symmetry = R-3m (166)
E_form = 0.097 eV/atom

a = 8.324 Å, b = 8.324 Å, c = 8.324 Å
α = 32.12°, β = 32.12°, γ = 32.12°
Fractional coordinates of all 7 atoms:
Ni (0.000, 0.500, 0.500)
Ni (0.500, 0.000, 0.500)
Ni (0.500, 0.500, 0.000)
P (0.000, 0.000, 0.000)
P (0.500, 0.500, 0.500)
Pb (0.225, 0.225, 0.225)
Pb (0.775, 0.775, 0.775)



| no. | E_tot (eV/atom) | total moment (Bohr magnetons per cell) |
| --- | --- | --- |
| 1 | -5.90 | 7.65 |
| 2 | -1.09 | 1.06 |
| 3 | -5.68 | 3.75 |
| 4 | -4.66 | 2.17 |
| 5 | -4.64 | 0.00 |
| 6 | -3.61 | 0.01 |
| 7 | -6.45 | 0.17 |
| 8 | -4.99 | 0.00 |